This record from Alexandria via LeMat-Bulk describes CeNd2NpN4 after structural relaxation. The functional is PBE.

Computed properties:
* DFT total energy: -9.06 eV/atom
* ρ: 9319 kg/m³
* formation energy without anion corrections: -10.79 eV/f.u.
* symmetry: P2/m (10)

abc: 6.172 3.563 6.191
angles: 90.00 109.17 90.00
Fractional positions:
Ce 0.000 0.000 0.000
Nd 0.000 0.500 0.500
Nd 0.500 0.000 0.500
Np 0.500 0.500 0.000
N 0.256 0.500 0.225
N 0.270 0.000 0.779
N 0.730 0.000 0.221
N 0.744 0.500 0.775